# 1
The following is a PBE calculation of a geometry-optimized SmDyZnIr structure, from Alexandria via LeMat-Bulk.

```
SmDyZnIr
1.0
4.9826 0.0000 0.0000
2.4913 4.3150 0.0000
2.4913 1.4383 4.0683
Dy Zn Ir Sm
1 1 1 1
Cartesian
7.4739 4.3150 3.0512
0.0000 0.0000 0.0000
4.9826 2.8767 2.0341
2.4913 1.4383 1.0171
```

Values from the calculation:
For the formation energy, the calculation gives -223 kJ/mol of formula units.

***

# 2
The following is a PBE calculation of a geometry-optimized HgAuCl2 structure, from Alexandria via LeMat-Bulk.

```
HgAuCl2
1.0
2.6589 0.0000 7.5904
-1.3295 2.3027 7.5904
-1.3295 -2.3027 7.5904
Au Cl Hg
1 2 1
Cartesian
0.0000 0.0000 0.0000
0.0000 0.0000 20.4900
0.0000 0.0000 2.2811
0.0000 0.0000 11.3856
```

Values from the calculation:
As for the formation energy without anion corrections: -0.17 eV/atom.

***

# 3
The following is a PBE calculation of a geometry-optimized CuTeSeS structure, from Alexandria via LeMat-Bulk.

```
CuTeSeS
1.0
4.1473 -0.2440 0.7241
-2.2809 3.4723 -0.7241
-0.7914 -1.6962 7.0839
Se Te S Cu
1 1 1 1
Cartesian
0.6522 1.7766 0.5464
-0.7687 0.4444 5.0984
0.9230 -0.5336 3.7539
-1.5251 3.0354 0.8069
```

Values from the calculation:
As for the formation energy without anion corrections: 0.00 eV/atom.

***

# 4
The following is a PBE calculation of a geometry-optimized Tm2Ga3Ir structure, from Alexandria via LeMat-Bulk.

```
Tm2Ga3Ir
1.0
4.6344 0.0000 0.0000
0.0000 5.6111 0.0000
-2.3172 -2.8056 4.8061
Ir Ga Tm
1 3 2
Cartesian
0.0000 2.8056 0.0000
0.0000 0.0000 0.0000
2.3172 2.8056 1.2522
0.0000 0.0000 3.5539
2.3172 0.0000 1.8623
0.0000 2.8056 2.9438
```

Values from the calculation:
For the formation energy, the calculation gives -175 kJ/mol of formula units.

***

# 5
The following is a PBE calculation of a geometry-optimized LiAg4Pd5 structure, from Alexandria via LeMat-Bulk.

```
LiAg4Pd5
1.0
-2.6744 1.6714 2.4704
-3.9582 -0.3300 -4.0618
2.4628 -7.0088 4.1600
Ag Pd Li
4 5 1
Cartesian
-0.8280 -4.1596 5.1661
-2.0983 -3.9435 0.3964
-2.0715 -1.7240 2.1721
-3.3418 -1.5079 -2.5976
-2.8067 -4.3272 3.1374
-1.3631 -1.3402 -0.5689
-4.0487 -1.8784 0.1360
-3.3163 0.6707 -0.7957
-0.1211 -3.7891 2.4325
-1.3372 0.8357 1.2352
```

Values from the calculation:
For the formation energy, the calculation gives -103 kJ/mol of formula units.

***

# 6
The following is a PBE calculation of a geometry-optimized Na2Sn3Bi structure, from Alexandria via LeMat-Bulk.

```
Na2Sn3Bi
1.0
-6.0908 -1.9240 -4.2645
0.5578 -7.6593 -0.0980
1.6965 2.4097 8.7709
Sn Na Bi
6 4 2
Cartesian
-3.3979 0.1872 3.2992
-0.4386 -7.3609 1.1091
-1.8019 -5.7378 -1.4222
-2.0346 -1.4359 5.8305
-3.9663 -5.4383 0.8568
0.1298 -1.7354 3.5515
-0.2914 -5.9903 4.9625
-1.2622 -3.0947 0.7493
-3.5451 -1.1834 -0.5541
-2.5743 -4.0789 3.6590
1.2511 -0.3859 6.4270
-5.0876 -6.7878 -2.0186
```

Values from the calculation:
For the formation energy, the calculation gives -43 kJ/mol of formula units.